Record 1
Pu3TeSe3 | PBE | relaxed

Properties
For the calculated total energy, the calculation gives -9.433 eV/atom. Its density is 9.10 g cm⁻³. The density of states at the Fermi level is 26.14 states/eV/f.u. Its total moment is 96.00 μB/cell.

a b c (Å): 8.9163 8.9163 17.4352
angles (deg): 90.00 90.00 120.00
Last column: nearest neighbours and their distance in Å.
Space group R-3 (No. 148, hexagonal axes)
One atom of each set of equivalent atoms:
Pu  0.0092  0.3658  0.4225 (multiplicity 18)  5 Se 2.88-3.18, 2 Te 3.13-3.19
Te  0.0000  0.0000  0.1627 (multiplicity 6)  6 Pu 3.13-3.19
Se  0.0071  0.2875  0.5914 (multiplicity 18)  5 Pu 2.88-3.18

Record 2
PuTe2Se | PBE | relaxed

Properties
For the calculated total energy, the calculation gives -5.756 eV/atom. Its density is 7.84 g cm⁻³. The density of states at the Fermi level is 9.84 states/eV/f.u. Its total moment is 19.34 μB/cell.

a b c (Å): 3.7397 3.7397 30.3353
angles (deg): 90.00 90.00 120.00
Last column: nearest neighbours and their distance in Å.
Space group R-3m (No. 166, hexagonal axes)
One atom of each set of equivalent atoms:
Pu  0.0000  0.0000  0.0000 (multiplicity 3)  2 Te 3.02
Te  0.0000  0.0000  0.0996 (multiplicity 6)  3 Se 2.97, 1 Pu 3.02
Se  0.0000  0.0000  0.5000 (multiplicity 3)  6 Te 2.97